Entry 1:
# MgCd2Rh

A geometry-optimized MgCd2Rh structure (GGA-PBEsol, the Alexandria database).

abc: 4.088 4.088 4.119
angles: 90.00 90.00 90.00
Sites, in units of the cell vectors:
Mg (0.000, 0.000, 0.000)
Cd (0.000, 0.500, 0.500)
Cd (0.500, 0.000, 0.500)
Rh (0.500, 0.500, 0.000)

Output
- SG: P4/mmm, No. 123
- DOS at the Fermi energy: 2.11 states/eV/cell
- Energy: -0.121 Ha/atom

---

Entry 2:
# Mg2CdRh

A geometry-optimized Mg2CdRh structure (GGA-PBEsol, the Alexandria database).

abc: 3.292 3.292 6.571
angles: 90.00 90.00 90.00
Sites, in units of the cell vectors:
Mg (0.000, 0.000, 0.000)
Mg (0.500, 0.500, 0.295)
Cd (0.500, 0.500, 0.727)
Rh (0.000, 0.000, 0.486)

Output
- SG: P4mm, No. 99
- DOS at the Fermi energy: 1.97 states/eV/cell
- Energy: -0.124 Ha/atom

---

Entry 3:
# MgCd2Rh

A geometry-optimized MgCd2Rh structure (GGA-PBEsol, the Alexandria database).

abc: 4.609 4.609 4.609
angles: 60.00 60.00 60.00
Sites, in units of the cell vectors:
Mg (0.000, 0.000, 0.000)
Cd (0.250, 0.250, 0.250)
Cd (0.500, 0.500, 0.500)
Rh (0.750, 0.750, 0.750)

Output
- SG: F-43m, No. 216
- DOS at the Fermi energy: 1.91 states/eV/cell
- Energy: -0.119 Ha/atom

---

Entry 4:
# MgCd2Rh2

A geometry-optimized MgCd2Rh2 structure (GGA-PBEsol, the Alexandria database).

abc: 6.730 6.730 3.876
angles: 90.00 90.00 90.00
Sites, in units of the cell vectors:
Mg (0.000, 0.000, 0.000)
Mg (0.500, 0.500, 0.000)
Cd (0.162, 0.338, 0.500)
Cd (0.338, 0.838, 0.500)
Cd (0.662, 0.162, 0.500)
Cd (0.838, 0.662, 0.500)
Rh (0.136, 0.636, 0.000)
Rh (0.364, 0.136, 0.000)
Rh (0.636, 0.864, 0.000)
Rh (0.864, 0.364, 0.000)

Output
- SG: P4/mbm, No. 127
- DOS at the Fermi energy: 4.88 states/eV/cell
- Energy: -0.155 Ha/atom

---

Entry 5:
# MgCd2Rh

A geometry-optimized MgCd2Rh structure (GGA-PBEsol, the Alexandria database).

abc: 5.117 5.115 4.028
angles: 66.85 66.79 46.36
Sites, in units of the cell vectors:
Mg (0.000, 0.000, 0.000)
Cd (0.250, 0.250, 0.250)
Cd (0.500, 0.500, 0.500)
Rh (0.750, 0.750, 0.750)

Output
- SG: F222, No. 22
- DOS at the Fermi energy: 1.64 states/eV/cell
- Energy: -0.120 Ha/atom

---

Entry 6:
# MgCd2Rh

A geometry-optimized MgCd2Rh structure (GGA-PBEsol, the Alexandria database).

abc: 3.074 3.952 5.795
angles: 90.00 90.00 90.00
Sites, in units of the cell vectors:
Mg (0.000, 0.000, 0.000)
Cd (0.500, 0.500, 0.264)
Cd (0.500, 0.500, 0.736)
Rh (0.000, 0.000, 0.500)

Output
- SG: Pmmm, No. 47
- DOS at the Fermi energy: 1.73 states/eV/cell
- Energy: -0.118 Ha/atom

---

Entry 7:
# MgCd4Rh

A geometry-optimized MgCd4Rh structure (GGA-PBEsol, the Alexandria database).

abc: 5.465 5.465 5.465
angles: 60.00 60.00 60.00
Sites, in units of the cell vectors:
Mg (0.000, 0.000, 0.000)
Cd (0.126, 0.625, 0.625)
Cd (0.625, 0.126, 0.625)
Cd (0.625, 0.625, 0.126)
Cd (0.625, 0.625, 0.625)
Rh (0.250, 0.250, 0.250)

Output
- SG: F-43m, No. 216
- DOS at the Fermi energy: 3.24 states/eV/cell
- Energy: -0.086 Ha/atom

---

Entry 8:
# MgCd2Rh

A geometry-optimized MgCd2Rh structure (GGA-PBEsol, the Alexandria database).

abc: 3.213 3.213 6.883
angles: 90.00 90.00 90.00
Sites, in units of the cell vectors:
Mg (0.000, 0.000, 0.000)
Cd (0.000, 0.000, 0.431)
Cd (0.500, 0.500, 0.718)
Rh (0.500, 0.500, 0.195)

Output
- SG: P4mm, No. 99
- DOS at the Fermi energy: 1.52 states/eV/cell
- Energy: -0.119 Ha/atom

---

Entry 9:
# Mg2CdRh

A geometry-optimized Mg2CdRh structure (GGA-PBEsol, the Alexandria database).

abc: 5.400 5.400 5.400
angles: 143.91 131.35 62.04
Sites, in units of the cell vectors:
Mg (0.000, 0.000, 0.000)
Mg (0.726, 0.226, 0.500)
Cd (0.464, 0.464, 0.000)
Rh (0.225, 0.725, 0.500)

Output
- SG: Imm2, No. 44
- DOS at the Fermi energy: 1.46 states/eV/cell
- Energy: -0.127 Ha/atom

---

Entry 10:
# MgCdRh3

A geometry-optimized MgCdRh3 structure (GGA-PBEsol, the Alexandria database).

abc: 4.457 4.457 4.457
angles: 90.00 90.00 90.00
Sites, in units of the cell vectors:
Mg (0.000, 0.000, 0.000)
Cd (0.500, 0.500, 0.500)
Rh (0.000, 0.000, 0.500)
Rh (0.000, 0.500, 0.000)
Rh (0.500, 0.000, 0.000)

Output
- SG: Pm-3m, No. 221
- DOS at the Fermi energy: 5.44 states/eV/cell
- Energy: -0.163 Ha/atom

---

Entry 11:
# MgCd2Rh2

A geometry-optimized MgCd2Rh2 structure (GGA-PBEsol, the Alexandria database).

abc: 7.090 7.090 7.090
angles: 149.15 149.15 44.19
Sites, in units of the cell vectors:
Mg (0.000, 0.000, 0.000)
Cd (0.396, 0.396, 0.000)
Cd (0.604, 0.604, 0.000)
Rh (0.250, 0.750, 0.500)
Rh (0.750, 0.250, 0.500)

Output
- SG: I4/mmm, No. 139
- DOS at the Fermi energy: 5.74 states/eV/cell
- Energy: -0.141 Ha/atom

---

Entry 12:
# Mg2CdRh

A geometry-optimized Mg2CdRh structure (GGA-PBEsol, the Alexandria database).

abc: 3.173 3.173 6.915
angles: 90.00 90.00 90.00
Sites, in units of the cell vectors:
Mg (0.000, 0.000, 0.210)
Mg (0.000, 0.000, 0.790)
Cd (0.500, 0.500, 0.500)
Rh (0.500, 0.500, 0.000)

Output
- SG: P4/mmm, No. 123
- DOS at the Fermi energy: 1.38 states/eV/cell
- Energy: -0.129 Ha/atom

---

Entry 13:
# MgCdRh

A geometry-optimized MgCdRh structure (GGA-PBEsol, the Alexandria database).

abc: 5.388 5.388 5.388
angles: 145.42 145.42 49.72
Sites, in units of the cell vectors:
Mg (0.000, 0.000, 0.000)
Cd (0.305, 0.305, 0.000)
Rh (0.640, 0.640, 0.000)

Output
- SG: I4mm, No. 107
- DOS at the Fermi energy: 0.97 states/eV/cell
- Energy: -0.145 Ha/atom

---

Entry 14:
# MgCd2Rh

A geometry-optimized MgCd2Rh structure (GGA-PBEsol, the Alexandria database).

abc: 5.144 5.144 5.144
angles: 134.20 134.20 66.77
Sites, in units of the cell vectors:
Mg (0.000, 0.000, 0.000)
Cd (0.250, 0.750, 0.500)
Cd (0.750, 0.250, 0.500)
Rh (0.500, 0.500, 0.000)

Output
- SG: I4/mmm, No. 139
- DOS at the Fermi energy: 1.66 states/eV/cell
- Energy: -0.121 Ha/atom

---

Entry 15:
# MgCdRh

A geometry-optimized MgCdRh structure (GGA-PBEsol, the Alexandria database).

abc: 4.411 4.411 2.947
angles: 90.00 90.00 120.00
Sites, in units of the cell vectors:
Mg (0.000, 0.000, 0.000)
Cd (0.333, 0.667, 0.659)
Rh (0.667, 0.333, 0.274)

Output
- SG: P3m1, No. 156
- DOS at the Fermi energy: 1.17 states/eV/cell
- Energy: -0.142 Ha/atom

---

Entry 16:
# Mg2CdRh

A geometry-optimized Mg2CdRh structure (GGA-PBEsol, the Alexandria database).

abc: 5.148 5.148 5.148
angles: 134.72 134.72 65.96
Sites, in units of the cell vectors:
Mg (0.000, 0.000, 0.000)
Mg (0.750, 0.250, 0.500)
Cd (0.250, 0.750, 0.500)
Rh (0.500, 0.500, 0.000)

Output
- SG: I-4m2, No. 119
- DOS at the Fermi energy: 1.59 states/eV/cell
- Energy: -0.128 Ha/atom

---

Entry 17:
# Mg2CdRh

A geometry-optimized Mg2CdRh structure (GGA-PBEsol, the Alexandria database).

abc: 4.594 4.594 4.594
angles: 60.00 60.00 60.00
Sites, in units of the cell vectors:
Mg (0.000, 0.000, 0.000)
Mg (0.250, 0.250, 0.250)
Cd (0.750, 0.750, 0.750)
Rh (0.500, 0.500, 0.500)

Output
- SG: F-43m, No. 216
- DOS at the Fermi energy: 1.76 states/eV/cell
- Energy: -0.126 Ha/atom

---

Entry 18:
# MgCd2Ru

A geometry-optimized MgCd2Ru structure (GGA-PBEsol, the Alexandria database).

abc: 9.700 9.700 9.700
angles: 17.55 17.55 17.55
Sites, in units of the cell vectors:
Mg (0.000, 0.000, 0.000)
Cd (0.244, 0.244, 0.244)
Cd (0.756, 0.756, 0.756)
Ru (0.500, 0.500, 0.500)

Output
- SG: R-3m, No. 166
- DOS at the Fermi energy: 3.27 states/eV/cell
- Energy: -0.121 Ha/atom

---

Entry 19:
# MgCdRu

A geometry-optimized MgCdRu structure (GGA-PBEsol, the Alexandria database).

abc: 4.963 4.963 4.963
angles: 147.43 130.26 60.72
Sites, in units of the cell vectors:
Mg (0.000, 0.000, 0.000)
Cd (0.323, 0.323, 0.000)
Ru (0.658, 0.658, 0.000)

Output
- SG: Imm2, No. 44
- DOS at the Fermi energy: 2.41 states/eV/cell
- Energy: -0.153 Ha/atom

---

Entry 20:
# MgCdRu2

A geometry-optimized MgCdRu2 structure (GGA-PBEsol, the Alexandria database).

abc: 2.837 2.837 8.012
angles: 90.00 90.00 90.00
Sites, in units of the cell vectors:
Mg (0.000, 0.000, 0.000)
Cd (0.500, 0.500, 0.695)
Ru (0.000, 0.000, 0.435)
Ru (0.500, 0.500, 0.240)

Output
- SG: P4mm, No. 99
- DOS at the Fermi energy: 2.54 states/eV/cell
- Energy: -0.212 Ha/atom

---

Entry 21:
# MgCd3Ru

A geometry-optimized MgCd3Ru structure (GGA-PBEsol, the Alexandria database).

abc: 4.936 4.936 4.936
angles: 90.00 90.00 90.00
Sites, in units of the cell vectors:
Mg (0.000, 0.000, 0.000)
Cd (0.000, 0.000, 0.500)
Cd (0.000, 0.500, 0.000)
Cd (0.500, 0.000, 0.000)
Ru (0.500, 0.500, 0.500)

Output
- SG: Pm-3m, No. 221
- DOS at the Fermi energy: 4.28 states/eV/cell
- Energy: -0.063 Ha/atom

---

Entry 22:
# MgCdRu2

A geometry-optimized MgCdRu2 structure (GGA-PBEsol, the Alexandria database).

abc: 5.031 5.031 5.031
angles: 135.09 135.09 65.39
Sites, in units of the cell vectors:
Mg (0.000, 0.000, 0.000)
Cd (0.500, 0.500, 0.000)
Ru (0.250, 0.750, 0.500)
Ru (0.750, 0.250, 0.500)

Output
- SG: I4/mmm, No. 139
- DOS at the Fermi energy: 5.15 states/eV/cell
- Energy: -0.199 Ha/atom

---

Entry 23:
# Mg2CdRu

A geometry-optimized Mg2CdRu structure (GGA-PBEsol, the Alexandria database).

abc: 2.918 4.155 5.750
angles: 90.00 90.00 90.00
Sites, in units of the cell vectors:
Mg (0.000, 0.000, 0.000)
Mg (0.500, 0.500, 0.283)
Cd (0.500, 0.500, 0.745)
Ru (0.000, 0.000, 0.490)

Output
- SG: Pmm2, No. 25
- DOS at the Fermi energy: 2.53 states/eV/cell
- Energy: -0.131 Ha/atom

---

Entry 24:
# MgCdRu

A geometry-optimized MgCdRu structure (GGA-PBEsol, the Alexandria database).

abc: 4.297 4.297 4.297
angles: 60.00 60.00 60.00
Sites, in units of the cell vectors:
Mg (0.000, 0.000, 0.000)
Cd (0.250, 0.250, 0.250)
Ru (0.750, 0.750, 0.750)

Output
- SG: F-43m, No. 216
- DOS at the Fermi energy: 3.06 states/eV/cell
- Energy: -0.133 Ha/atom

---

Entry 25:
# MgCdRu3

A geometry-optimized MgCdRu3 structure (GGA-PBEsol, the Alexandria database).

abc: 4.445 4.445 4.445
angles: 90.00 90.00 90.00
Sites, in units of the cell vectors:
Mg (0.000, 0.000, 0.000)
Cd (0.500, 0.500, 0.500)
Ru (0.000, 0.000, 0.500)
Ru (0.000, 0.500, 0.000)
Ru (0.500, 0.000, 0.000)

Output
- SG: Pm-3m, No. 221
- DOS at the Fermi energy: 4.93 states/eV/cell
- Energy: -0.181 Ha/atom

---

Entry 26:
# MgCdRu2

A geometry-optimized MgCdRu2 structure (GGA-PBEsol, the Alexandria database).

abc: 2.736 2.736 9.046
angles: 90.00 90.00 113.43
Sites, in units of the cell vectors:
Mg (0.000, 0.000, 0.000)
Cd (0.000, 0.000, 0.500)
Ru (0.500, 0.500, 0.243)
Ru (0.500, 0.500, 0.757)

Output
- SG: Cmmm, No. 65
- DOS at the Fermi energy: 4.29 states/eV/cell
- Energy: -0.199 Ha/atom

---

Entry 27:
# Mg2CdRu

A geometry-optimized Mg2CdRu structure (GGA-PBEsol, the Alexandria database).

abc: 5.164 5.164 5.164
angles: 135.01 135.01 65.51
Sites, in units of the cell vectors:
Mg (0.000, 0.000, 0.000)
Mg (0.750, 0.250, 0.500)
Cd (0.250, 0.750, 0.500)
Ru (0.500, 0.500, 0.000)

Output
- SG: I-4m2, No. 119
- DOS at the Fermi energy: 2.09 states/eV/cell
- Energy: -0.134 Ha/atom

---

Entry 28:
# MgCdRu2

A geometry-optimized MgCdRu2 structure (GGA-PBEsol, the Alexandria database).

abc: 4.416 4.416 4.416
angles: 119.34 119.34 91.14
Sites, in units of the cell vectors:
Mg (0.000, 0.000, 0.000)
Cd (0.250, 0.750, 0.500)
Ru (0.500, 0.500, 0.000)
Ru (0.750, 0.250, 0.500)

Output
- SG: I-4m2, No. 119
- DOS at the Fermi energy: 3.49 states/eV/cell
- Energy: -0.203 Ha/atom

---

Entry 29:
# MgCdS2

A geometry-optimized MgCdS2 structure (GGA-PBEsol, the Alexandria database).

abc: 3.759 3.759 5.317
angles: 90.00 90.00 90.00
Sites, in units of the cell vectors:
Mg (0.000, 0.000, 0.000)
Cd (0.500, 0.500, 0.500)
S (0.000, 0.000, 0.500)
S (0.500, 0.500, 0.000)

Output
- SG: P4/mmm, No. 123
- DOS at the Fermi energy: 0.28 states/eV/cell
- ΔE_f (raw): -983 meV/atom
- Energy: -0.143 Ha/atom

---

Entry 30:
# MgCdS2

A geometry-optimized MgCdS2 structure (GGA-PBEsol, the Alexandria database).

abc: 7.037 7.037 7.037
angles: 131.88 131.88 70.41
Sites, in units of the cell vectors:
Mg (0.000, 0.000, 0.000)
Mg (0.750, 0.250, 0.500)
Cd (0.250, 0.750, 0.500)
Cd (0.500, 0.500, 0.000)
S (0.113, 0.625, 0.988)
S (0.375, 0.363, 0.488)
S (0.637, 0.125, 0.012)
S (0.875, 0.887, 0.512)

Output
- SG: I-42d, No. 122
- DOS at the Fermi energy: 0.00 states/eV/cell
- ΔE_f (raw): -1009 meV/atom
- Energy: -0.144 Ha/atom